Record 1
The following is a DFT calculation (PBE-GGA) of crystalline NaSr4Ga at its relaxed geometry.

Unit cell a=7.2991 b=9.1209 c=9.1209 alpha=111.26 beta=100.68 gamma=100.68
Last column: nearest neighbours and their distance in Å.
Fractional positions:
Sr  0.5534  0.2706  0.9358  2 Ga 3.27
Sr  0.6231  0.1898  0.3543  2 Ga 3.44, 1 Na 3.80
Na  0.7500  0.6228  0.3772  8 Sr 3.80-4.18
Sr  0.9466  0.0642  0.7294  2 Ga 3.27
Sr  0.1231  0.3543  0.1898  2 Ga 3.44, 1 Na 3.80
Sr  0.8769  0.6457  0.8102  2 Ga 3.44, 1 Na 3.80
Ga  0.7500  0.9979  0.0021  8 Sr 3.27-3.44, 2 Ga 3.65
Sr  0.3769  0.8102  0.6457  2 Ga 3.44, 1 Na 3.80
Sr  0.4466  0.7294  0.0642  2 Ga 3.27
Sr  0.0534  0.9358  0.2706  2 Ga 3.27
Na  0.2500  0.3772  0.6228  8 Sr 3.80-4.18
Ga  0.2500  0.0021  0.9979  8 Sr 3.27-3.44, 2 Ga 3.65

## Properties
Formation energy in eV per atom: -0.119
E above lowest polymorph in eV per formula unit: 0.00
Crystal system: monoclinic
SG: C2/c

---

Record 2
The following is a DFT calculation (PBE-GGA) of crystalline NaSr5Ga4 at its relaxed geometry.

Unit cell a=3.9397 b=3.9397 c=21.0142 alpha=90.00 beta=90.00 gamma=90.00
Last column: nearest neighbours and their distance in Å.
Fractional positions:
Sr  0.5000  0.5000  0.8623  4 Ga 3.33
Sr  0.5000  0.5000  0.6836  8 Ga 3.37-3.39, 1 Sr 3.75
Ga  0.0000  0.0000  0.5935  8 Sr 3.37-3.41
Sr  0.5000  0.5000  0.3164  8 Ga 3.37-3.39, 1 Sr 3.75
Ga  0.0000  0.0000  0.7756  8 Sr 3.33-3.39
Sr  0.5000  0.5000  0.1377  4 Ga 3.33
Ga  0.0000  0.0000  0.4065  8 Sr 3.37-3.41
Sr  0.5000  0.5000  0.5000  8 Ga 3.41
Na  0.0000  0.0000  0.0000  4 Na 3.94, 8 Sr 4.02
Ga  0.0000  0.0000  0.2244  8 Sr 3.33-3.39

## Properties
Formation energy in eV per atom: -0.294
Crystal system: tetragonal
SG: P4/mmm

---

Record 3
The following is a DFT calculation (PBE-GGA) of crystalline NaSr2Ga2 at its relaxed geometry.

Unit cell a=3.9562 b=3.9562 c=11.7205 alpha=80.28 beta=80.28 gamma=90.00
Last column: nearest neighbours and their distance in Å.
Fractional positions:
Sr  0.6293  0.6293  0.7415  4 Ga 3.39
Ga  0.2500  0.7500  0.5000  4 Ga 2.80
Ga  0.7500  0.2500  0.5000  4 Ga 2.80
Sr  0.3707  0.3707  0.2586  4 Ga 3.39
Na  0.0000  0.0000  0.0000  4 Na 3.96, 8 Sr 4.06

## Properties
Formation energy in eV per atom: -0.055
E above lowest polymorph in eV per formula unit: 1.24
Crystal system: tetragonal
SG: I4/mmm

---

Record 4
The following is a DFT calculation (PBE-GGA) of crystalline Na3SrGa at its relaxed geometry.

Unit cell a=5.7481 b=5.7481 c=5.7481 alpha=90.00 beta=90.00 gamma=90.00
Last column: nearest neighbours and their distance in Å.
Fractional positions:
Sr  0.5000  0.5000  0.5000  12 Na 4.06
Na  0.5000  0.0000  0.0000  2 Ga 2.87
Ga  0.0000  0.0000  0.0000  6 Na 2.87
Na  0.0000  0.5000  0.0000  2 Ga 2.87
Na  0.0000  0.0000  0.5000  2 Ga 2.87

## Properties
Formation energy in eV per atom: 0.125
E above lowest polymorph in eV per formula unit: 0.00
Crystal system: cubic
SG: Pm-3m

---

Record 5
The following is a DFT calculation (PBE-GGA) of crystalline NaSr4Ga2 at its relaxed geometry.

Unit cell a=5.6661 b=5.6661 c=9.7174 alpha=73.05 beta=73.05 gamma=60.00
Last column: nearest neighbours and their distance in Å.
Fractional positions:
Ga  0.2542  0.2542  0.2374  8 Sr 3.37-3.56
Sr  0.1304  0.1304  0.6087  4 Ga 3.40-3.56, 1 Na 3.58
Sr  0.8696  0.8696  0.3913  4 Ga 3.40-3.56, 1 Na 3.58
Na  0.0000  0.0000  0.0000  8 Sr 3.54-3.58, 6 Ga 3.93
Sr  0.6175  0.6175  0.1474  4 Ga 3.37-3.52, 3 Na 3.54
Ga  0.7458  0.7458  0.7626  8 Sr 3.37-3.56
Sr  0.3825  0.3825  0.8526  4 Ga 3.37-3.52, 3 Na 3.54

## Properties
Formation energy in eV per atom: -0.173
Crystal system: trigonal
SG: R-3m

---

Record 6
The following is a DFT calculation (PBE-GGA) of crystalline NaSr4Ga at its relaxed geometry.

Unit cell a=8.3980 b=8.2319 c=8.4694 alpha=90.00 beta=95.88 gamma=90.00
Last column: nearest neighbours and their distance in Å.
Fractional positions:
Na  0.0000  0.0000  0.0000  4 Sr 3.49-3.60
Sr  0.8085  0.1710  0.3729  2 Ga 3.23-3.28
Sr  0.1131  0.3621  0.8284  1 Ga 3.06
Ga  0.5000  0.0000  0.5000  6 Sr 3.06-3.28
Sr  0.3869  0.8621  0.1716  1 Ga 3.06
Sr  0.6915  0.6710  0.6271  2 Ga 3.23-3.28
Sr  0.3085  0.3290  0.3729  2 Ga 3.23-3.28
Sr  0.6131  0.1379  0.8284  1 Ga 3.06
Sr  0.1915  0.8290  0.6271  2 Ga 3.23-3.28
Sr  0.8869  0.6379  0.1716  1 Ga 3.06
Na  0.5000  0.5000  0.0000  4 Sr 3.49-3.60
Ga  0.0000  0.5000  0.5000  6 Sr 3.06-3.28

## Properties
Formation energy in eV per atom: -0.011
E above lowest polymorph in eV per formula unit: 0.65
Crystal system: monoclinic
SG: P2_1/c

---

Record 7
The following is a DFT calculation (PBE-GGA) of crystalline NaSr2Ga2 at its relaxed geometry.

Unit cell a=8.7272 b=8.7272 c=4.2324 alpha=90.00 beta=90.00 gamma=90.00
Last column: nearest neighbours and their distance in Å.
Fractional positions:
Ga  0.8914  0.6086  0.0000  1 Ga 2.68
Ga  0.3913  0.8914  0.0000  1 Ga 2.68
Na  0.0000  0.0000  0.0000  4 Ga 3.54, 8 Sr 3.84
Sr  0.6801  0.8199  0.5000  6 Ga 3.35-3.36
Sr  0.1801  0.6801  0.5000  6 Ga 3.35-3.36
Sr  0.3199  0.1801  0.5000  6 Ga 3.35-3.36
Sr  0.8199  0.3199  0.5000  6 Ga 3.35-3.36
Na  0.5000  0.5000  0.0000  4 Ga 3.54, 8 Sr 3.84
Ga  0.1086  0.3913  0.0000  1 Ga 2.68
Ga  0.6086  0.1086  0.0000  1 Ga 2.68

## Properties
Formation energy in eV per atom: -0.265
E above lowest polymorph in eV per formula unit: 0.19
Crystal system: tetragonal
SG: P4/mbm

---

Record 8
The following is a DFT calculation (PBE-GGA) of crystalline NaSr3Ga2 at its relaxed geometry.

Unit cell a=3.9679 b=3.9679 c=13.1062 alpha=90.00 beta=90.00 gamma=90.00
Last column: nearest neighbours and their distance in Å.
Fractional positions:
Sr  0.0000  0.0000  0.2832  4 Ga 3.34, 1 Sr 3.71
Na  0.5000  0.5000  0.5000  4 Na 3.97, 8 Sr 3.99
Sr  0.0000  0.0000  0.0000  8 Ga 3.39, 2 Sr 3.71
Ga  0.5000  0.5000  0.1446  8 Sr 3.34-3.39
Ga  0.5000  0.5000  0.8554  8 Sr 3.34-3.39
Sr  0.0000  0.0000  0.7168  4 Ga 3.34, 1 Sr 3.71

## Properties
Formation energy in eV per atom: -0.255
Crystal system: tetragonal
SG: P4/mmm

---

Record 9
The following is a DFT calculation (PBE-GGA) of crystalline Na2SrGaTe at its relaxed geometry.

Unit cell a=5.6253 b=6.5770 c=5.6253 alpha=90.00 beta=90.00 gamma=90.00
Last column: nearest neighbours and their distance in Å.
Fractional positions:
Ga  0.0000  0.5000  0.0000  2 Te 3.29
Sr  0.5000  0.5000  0.5000  4 Ga 3.98, 8 Na 4.33
Na  0.0000  0.0000  0.5000  2 Te 2.81
Na  0.5000  0.0000  0.0000  2 Te 2.81
Te  0.0000  0.0000  0.0000  4 Na 2.81

## Properties
Formation energy (no corrections) in eV/f.u.: -0.6
Crystal system: tetragonal
SG: P4/mmm

---

Record 10
The following is a DFT calculation (PBE-GGA) of crystalline NaSrTlGa at its relaxed geometry.

Unit cell a=5.4712 b=5.4712 c=5.4712 alpha=60.00 beta=60.00 gamma=60.00
Last column: nearest neighbours and their distance in Å.
Fractional positions:
Na  0.5000  0.5000  0.5000  4 Tl 3.35, 4 Ga 3.35
Tl  0.7500  0.7500  0.7500  4 Na 3.35, 4 Sr 3.35
Ga  0.2500  0.2500  0.2500  4 Na 3.35, 4 Sr 3.35
Sr  0.0000  0.0000  0.0000  4 Tl 3.35, 4 Ga 3.35

## Properties
Formation energy in eV per atom: -0.194
Crystal system: cubic
SG: F-43m

---

Record 11
The following is a DFT calculation (PBE-GGA) of crystalline NaSr2ZnGa at its relaxed geometry.

Unit cell a=6.2060 b=6.2060 c=4.6629 alpha=90.00 beta=90.00 gamma=90.00
Last column: nearest neighbours and their distance in Å.
Fractional positions:
Na  0.5000  0.5000  0.5000  8 Sr 3.88
Sr  0.5000  0.0000  0.0000  2 Zn 3.10
Sr  0.0000  0.5000  0.0000  2 Zn 3.10
Zn  0.0000  0.0000  0.0000  2 Ga 2.33
Ga  0.0000  0.0000  0.5000  2 Zn 2.33

## Properties
Formation energy in eV per atom: -0.055
Crystal system: tetragonal
SG: P4/mmm

---

Record 12
The following is a DFT calculation (PBE-GGA) of crystalline Na2TaGa at its relaxed geometry.

Unit cell a=8.3473 b=8.3473 c=6.4905 alpha=49.98 beta=49.98 gamma=90.00
Last column: nearest neighbours and their distance in Å.
Fractional positions:
Na  0.1559  0.6250  0.2500  2 Na 2.75, 2 Ga 2.86
Ta  0.0000  0.0000  0.0000  2 Ga 2.70
Ta  0.7500  0.2500  0.5000  2 Ga 2.70
Na  0.5941  0.1250  0.2500  2 Na 2.75, 2 Ga 2.86
Ga  0.2500  0.7500  0.5000  2 Ta 2.70, 4 Na 2.86
Na  0.8750  0.8441  0.7500  2 Na 2.75, 2 Ga 2.86
Ga  0.5000  0.5000  0.0000  2 Ta 2.70, 4 Na 2.86
Na  0.3750  0.4059  0.7500  2 Na 2.75, 2 Ga 2.86

## Properties
Formation energy in eV per atom: 1.016
Crystal system: tetragonal
SG: I-42d

---

Record 13
The following is a DFT calculation (PBE-GGA) of crystalline NaTaGa3 at its relaxed geometry.

Unit cell a=5.0988 b=5.0988 c=5.0988 alpha=90.00 beta=90.00 gamma=90.00
Last column: nearest neighbours and their distance in Å.
Fractional positions:
Ga  0.0000  0.5000  0.0000  2 Ta 2.55
Na  0.5000  0.5000  0.5000  12 Ga 3.61
Ga  0.5000  0.0000  0.0000  2 Ta 2.55
Ga  0.0000  0.0000  0.5000  2 Ta 2.55
Ta  0.0000  0.0000  0.0000  6 Ga 2.55

## Properties
Formation energy in eV per atom: 0.293
E above lowest polymorph in eV per formula unit: 0.00
Crystal system: cubic
SG: Pm-3m